ZnCuNi2 | PBEsol | relaxed

Values from the calculation:
E_form   -0.5 eV/f.u.
Calculated total energy   -37.49 eV for the cell shown
DOS(E_F)   2.507 states/eV/f.u.
Total magnetic moment   0.0 μB/cell

abc: 3.642 3.642 6.694
angles: 90.00 90.00 90.00
Sites, in units of the cell vectors:
Zn 0.000 0.000 0.000
Zn 0.500 0.500 0.500
Cu 0.000 0.000 0.500
Cu 0.500 0.500 0.000
Ni 0.000 0.500 0.250
Ni 0.000 0.500 0.750
Ni 0.500 0.000 0.250
Ni 0.500 0.000 0.750

YAg2W | PBEsol | relaxed

Values from the calculation:
E_form   2.1 eV/f.u.
Calculated total energy   -50.39 eV for the cell shown
DOS(E_F)   2.654 states/eV/f.u.
Total magnetic moment   0.0 μB/cell

abc: 3.001 4.884 10.308
angles: 90.00 90.00 90.00
Sites, in units of the cell vectors:
Y 0.000 0.000 0.000
Y 0.500 0.500 0.500
Ag 0.000 0.500 0.230
Ag 0.000 0.500 0.770
Ag 0.500 0.000 0.270
Ag 0.500 0.000 0.730
W 0.000 0.000 0.500
W 0.500 0.500 0.000

Al12Ag17 | PBEsol | relaxed

Values from the calculation:
E_form   -1.0 eV/f.u.
Calculated total energy   -106.36 eV for the cell shown
DOS(E_F)   8.013 states/eV/f.u.
Total magnetic moment   0.0 μB/cell

abc: 8.503 8.503 8.503
angles: 109.47 109.47 109.47
Sites, in units of the cell vectors:
Al 0.000 0.618 0.808
Al 0.000 0.808 0.618
Al 0.190 0.382 0.382
Al 0.192 0.192 0.810
Al 0.192 0.810 0.192
Al 0.382 0.190 0.382
Al 0.382 0.382 0.190
Al 0.618 0.000 0.808
Al 0.618 0.808 0.000
Al 0.808 0.000 0.618
Al 0.808 0.618 0.000
Al 0.810 0.192 0.192
Ag 0.000 0.000 0.000
Ag 0.000 0.000 0.330
Ag 0.000 0.313 0.591
Ag 0.000 0.330 0.000
Ag 0.000 0.591 0.313
Ag 0.278 0.687 0.687
Ag 0.313 0.000 0.591
Ag 0.313 0.591 0.000
Ag 0.330 0.000 0.000
Ag 0.409 0.409 0.722
Ag 0.409 0.722 0.409
Ag 0.591 0.000 0.313
Ag 0.591 0.313 0.000
Ag 0.670 0.670 0.670
Ag 0.687 0.278 0.687
Ag 0.687 0.687 0.278
Ag 0.722 0.409 0.409

LaTa2Mn | PBEsol | relaxed

Values from the calculation:
E_form   1.2 eV/f.u.
Calculated total energy   -39.03 eV for the cell shown
DOS(E_F)   5.092 states/eV/f.u.
E above lowest polymorph   0 meV per atom
Total magnetic moment   0.0 μB/cell

abc: 3.091 3.091 7.950
angles: 90.00 90.00 90.00
Sites, in units of the cell vectors:
La 0.000 0.000 0.000
Ta 0.000 0.000 0.433
Ta 0.500 0.500 0.667
Mn 0.500 0.500 0.273

Hf2Be2Tc | PBEsol | relaxed

Values from the calculation:
E_form   -1.1 eV/f.u.
Calculated total energy   -82.84 eV for the cell shown
DOS(E_F)   4.772 states/eV/f.u.
Total magnetic moment   0.0 μB/cell

abc: 6.412 6.412 3.469
angles: 90.00 90.00 90.00
Sites, in units of the cell vectors:
Hf 0.183 0.317 0.000
Hf 0.317 0.817 0.000
Hf 0.683 0.183 0.000
Hf 0.817 0.683 0.000
Be 0.116 0.616 0.500
Be 0.384 0.116 0.500
Be 0.616 0.884 0.500
Be 0.884 0.384 0.500
Tc 0.000 0.000 0.500
Tc 0.500 0.500 0.500

SrAs3N | PBEsol | relaxed

Values from the calculation:
Calculated total energy   -24.97 eV for the cell shown
E_form (uncorrected)   144 meV per atom
DOS(E_F)   2.681 states/eV/f.u.
Total magnetic moment   0.0 μB/cell

abc: 4.512 4.512 4.512
angles: 90.00 90.00 90.00
Sites, in units of the cell vectors:
Sr 0.000 0.000 0.000
As 0.000 0.500 0.500
As 0.500 0.000 0.500
As 0.500 0.500 0.000
N 0.500 0.500 0.500

LaInAsBr2 | PBEsol | relaxed

Values from the calculation:
Calculated total energy   -20.66 eV for the cell shown
E_form (uncorrected)   -697 meV per atom
DOS(E_F)   4.193 states/eV/f.u.
Total magnetic moment   0.3 μB/cell

abc: 5.731 5.731 5.695
angles: 90.00 90.00 90.00
Sites, in units of the cell vectors:
La 0.000 0.000 0.000
In 0.500 0.500 0.500
As 0.000 0.000 0.500
Br 0.000 0.500 0.000
Br 0.500 0.000 0.000

Ca2BeNbIn | PBEsol | relaxed

Values from the calculation:
E_form   3.6 eV/f.u.
Calculated total energy   -18.44 eV for the cell shown
DOS(E_F)   2.145 states/eV/f.u.
Total magnetic moment   3.6 μB/cell

abc: 5.336 5.336 4.468
angles: 90.00 90.00 90.00
Sites, in units of the cell vectors:
Ca 0.000 0.500 0.000
Ca 0.500 0.000 0.000
Be 0.000 0.000 0.000
Nb 0.500 0.500 0.500
In 0.000 0.000 0.500

Eu2Zn2CuP3 | PBEsol | relaxed

Values from the calculation:
E_form   -6.5 eV/f.u.
Calculated total energy   -105.09 eV for the cell shown
DOS(E_F)   17.535 states/eV/f.u.
Total magnetic moment   28.0 μB/cell

abc: 4.011 4.011 21.493
angles: 90.00 90.00 120.00
Sites, in units of the cell vectors:
Eu 0.000 0.000 0.157
Eu 0.000 0.000 0.343
Eu 0.000 0.000 0.657
Eu 0.000 0.000 0.843
Zn 0.333 0.667 0.042
Zn 0.333 0.667 0.458
Zn 0.667 0.333 0.542
Zn 0.667 0.333 0.958
Cu 0.333 0.667 0.750
Cu 0.667 0.333 0.250
P 0.333 0.667 0.250
P 0.333 0.667 0.574
P 0.333 0.667 0.926
P 0.667 0.333 0.074
P 0.667 0.333 0.426
P 0.667 0.333 0.750

Co2Ni2Pb | PBEsol | relaxed

Values from the calculation:
E_form   2.1 eV/f.u.
Calculated total energy   -59.38 eV for the cell shown
DOS(E_F)   5.593 states/eV/f.u.
Total magnetic moment   8.4 μB/cell

abc: 3.565 3.565 10.752
angles: 90.00 90.00 90.00
Sites, in units of the cell vectors:
Co 0.000 0.000 0.107
Co 0.000 0.000 0.893
Co 0.500 0.500 0.393
Co 0.500 0.500 0.607
Ni 0.000 0.500 0.250
Ni 0.000 0.500 0.750
Ni 0.500 0.000 0.250
Ni 0.500 0.000 0.750
Pb 0.000 0.000 0.500
Pb 0.500 0.500 0.000

Cs2Sr2O3 | PBEsol | relaxed

Values from the calculation:
Calculated total energy   -69.93 eV for the cell shown
E_form (uncorrected)   -1950 meV per atom
DOS(E_F)   0.000 states/eV/f.u.
Total magnetic moment   0.0 μB/cell

abc: 7.099 7.367 7.315
angles: 90.00 116.53 90.00
Sites, in units of the cell vectors:
Cs 0.175 0.148 0.424
Cs 0.175 0.352 0.924
Cs 0.825 0.648 0.076
Cs 0.825 0.852 0.576
Sr 0.334 0.621 0.569
Sr 0.334 0.879 0.069
Sr 0.666 0.121 0.931
Sr 0.666 0.379 0.431
O 0.000 0.000 0.000
O 0.000 0.500 0.500
O 0.401 0.609 0.271
O 0.401 0.891 0.771
O 0.599 0.109 0.229
O 0.599 0.391 0.729

Na4HgP2 | PBEsol | relaxed

Values from the calculation:
E_form   -2.3 eV/f.u.
Calculated total energy   -20.07 eV for the cell shown
Total magnetic moment   0.0 μB/cell

abc: 8.931 8.931 8.931
angles: 32.28 32.28 32.28
Sites, in units of the cell vectors:
Na 0.098 0.098 0.098
Na 0.293 0.293 0.293
Na 0.707 0.707 0.707
Na 0.902 0.902 0.902
Hg 0.500 0.500 0.500
P 0.406 0.406 0.406
P 0.594 0.594 0.594

KIn2Cu | PBEsol | relaxed

Values from the calculation:
E_form   0.9 eV/f.u.
Calculated total energy   -21.10 eV for the cell shown
DOS(E_F)   1.589 states/eV/f.u.
Total magnetic moment   0.0 μB/cell

abc: 4.871 5.573 7.509
angles: 90.00 90.00 90.00
Sites, in units of the cell vectors:
K 0.000 0.000 0.000
K 0.500 0.500 0.500
In 0.000 0.000 0.540
In 0.000 0.500 0.786
In 0.500 0.000 0.286
In 0.500 0.500 0.040
Cu 0.000 0.500 0.165
Cu 0.500 0.000 0.665

TeIr2Au | PBEsol | relaxed

Values from the calculation:
Calculated total energy   -49.30 eV for the cell shown
E_form (uncorrected)   612 meV per atom
DOS(E_F)   6.095 states/eV/f.u.
Total magnetic moment   0.0 μB/cell

abc: 4.074 4.074 8.072
angles: 90.00 90.00 90.00
Sites, in units of the cell vectors:
Te 0.000 0.000 0.000
Te 0.500 0.500 0.500
Ir 0.000 0.000 0.500
Ir 0.000 0.500 0.750
Ir 0.500 0.000 0.250
Ir 0.500 0.500 0.000
Au 0.000 0.500 0.250
Au 0.500 0.000 0.750

ZnCoTe4 | PBEsol | relaxed

Values from the calculation:
Calculated total energy   -17.55 eV for the cell shown
E_form (uncorrected)   978 meV per atom
DOS(E_F)   5.781 states/eV/f.u.
Total magnetic moment   2.4 μB/cell

abc: 6.192 6.192 6.192
angles: 60.00 60.00 60.00
Sites, in units of the cell vectors:
Zn 0.000 0.000 0.000
Co 0.750 0.750 0.750
Te 0.376 0.376 0.376
Te 0.376 0.376 0.873
Te 0.376 0.873 0.376
Te 0.873 0.376 0.376

NbFeAsRu2 | PBEsol | relaxed

Values from the calculation:
E_form   4.3 eV/f.u.
Calculated total energy   -40.95 eV for the cell shown
DOS(E_F)   4.883 states/eV/f.u.
Total magnetic moment   0.9 μB/cell

abc: 4.415 4.415 4.212
angles: 90.00 90.00 90.00
Sites, in units of the cell vectors:
Nb 0.000 0.000 0.000
Fe 0.500 0.500 0.000
As 0.500 0.500 0.500
Ru 0.000 0.500 0.500
Ru 0.500 0.000 0.500

CoCl2O2 | PBEsol | relaxed

Values from the calculation:
Calculated total energy   -44.33 eV for the cell shown
E_form (uncorrected)   18 meV per atom
DOS(E_F)   3.926 states/eV/f.u.
Total magnetic moment   2.0 μB/cell

abc: 6.384 7.362 3.367
angles: 90.00 90.15 90.00
Sites, in units of the cell vectors:
Co 0.000 0.000 0.000
Co 0.500 0.500 0.000
Cl 0.247 0.000 0.501
Cl 0.253 0.500 0.499
Cl 0.747 0.500 0.501
Cl 0.753 0.000 0.499
O 0.000 0.222 0.000
O 0.000 0.778 0.000
O 0.500 0.278 0.000
O 0.500 0.722 0.000

RbH3 | PBEsol | relaxed

Values from the calculation:
Calculated total energy   -22.08 eV for the cell shown
DOS(E_F)   0.000 states/eV/f.u.
Total magnetic moment   0.0 μB/cell

abc: 7.557 4.697 4.494
angles: 90.00 124.27 90.00
Sites, in units of the cell vectors:
Rb 0.000 0.000 0.000
Rb 0.500 0.500 0.000
H 0.004 0.500 0.505
H 0.071 0.500 0.417
H 0.239 0.500 0.248
H 0.504 0.000 0.505
H 0.571 0.000 0.417
H 0.739 0.000 0.248

FeCo2 | PBEsol | relaxed

Values from the calculation:
E_form   0.8 eV/f.u.
Calculated total energy   -94.72 eV for the cell shown
DOS(E_F)   3.820 states/eV/f.u.
Total magnetic moment   22.3 μB/cell

abc: 2.413 2.413 22.585
angles: 90.00 90.00 90.00
Sites, in units of the cell vectors:
Fe 0.000 0.250 0.375
Fe 0.000 0.750 0.625
Fe 0.500 0.250 0.125
Fe 0.500 0.750 0.875
Co 0.000 0.250 0.794
Co 0.000 0.250 0.956
Co 0.000 0.750 0.044
Co 0.000 0.750 0.206
Co 0.500 0.250 0.544
Co 0.500 0.250 0.706
Co 0.500 0.750 0.294
Co 0.500 0.750 0.456

TaNi4Au | PBEsol | relaxed

Values from the calculation:
E_form   -1.7 eV/f.u.
Calculated total energy   -42.84 eV for the cell shown
DOS(E_F)   4.289 states/eV/f.u.
Total magnetic moment   0.0 μB/cell

abc: 4.697 4.697 4.697
angles: 60.00 60.00 60.00
Sites, in units of the cell vectors:
Ta 0.000 0.000 0.000
Ni 0.125 0.625 0.625
Ni 0.625 0.125 0.625
Ni 0.625 0.625 0.125
Ni 0.625 0.625 0.625
Au 0.250 0.250 0.250